(1)
A plane-wave DFT calculation with PBE-GGA was carried out for a relaxed RbBF3 crystal.

Calculated values
Magnetization in μB/atom: 0.00
ΔE_f (raw) in eV/f.u.: -9.21
Volume in Å³ per cell: 142.6
Distance to the lowest polymorph of the same formula in eV per atom: 0.853

```
RbBF3
1.0
-2.8530 2.8530 4.3796
2.8530 -2.8530 4.3796
2.8530 2.8530 -4.3796
Rb B F
2 2 6
direct
0.2500 0.7500 0.5000 Rb
0.7500 0.2500 0.5000 Rb
0.0000 0.0000 0.0000 B
0.5000 0.5000 0.0000 B
0.1630 0.1630 0.0000 F
0.2296 0.2296 0.4591 F
0.2296 0.7704 0.0000 F
0.7704 0.2296 0.0000 F
0.7704 0.7704 0.5409 F
0.8370 0.8370 0.0000 F
```


(2)
A plane-wave DFT calculation with PBE-GGA was carried out for a relaxed Sb3PdBr crystal.

Calculated values
Magnetization in μB/atom: 0.00
ΔE_f (raw) in eV/f.u.: 1.73
Volume in Å³ per cell: 148.2
Distance to the lowest polymorph of the same formula in eV per atom: 0.000

```
Sb3PdBr
1.0
5.2923 0.0000 0.0000
0.0000 5.2923 0.0000
0.0000 0.0000 5.2923
Sb Pd Br
3 1 1
direct
0.0000 0.0000 0.5000 Sb
0.0000 0.5000 0.0000 Sb
0.5000 0.0000 0.0000 Sb
0.0000 0.0000 0.0000 Pd
0.5000 0.5000 0.5000 Br
```


(3)
A plane-wave DFT calculation with PBE-GGA was carried out for a relaxed AcLuAlSn crystal.

Calculated values
Magnetization in μB/atom: 0.00
Energy of formation from the pure elements in meV/atom: -342
Volume in Å³ per cell: 114.2

```
AcLuAlSn
1.0
0.0000 3.8511 3.8511
3.8511 0.0000 3.8511
3.8511 3.8511 0.0000
Ac Lu Al Sn
1 1 1 1
direct
0.0000 0.0000 0.0000 Ac
0.5000 0.5000 0.5000 Lu
0.7500 0.7500 0.7500 Al
0.2500 0.2500 0.2500 Sn
```


(4)
A plane-wave DFT calculation with PBE-GGA was carried out for a relaxed PrDyHgPb crystal.

Calculated values
Magnetization in μB/atom: 0.00
Energy of formation from the pure elements in meV/atom: -475
Volume in Å³ per cell: 113.8

```
PrDyHgPb
1.0
0.0000 3.8458 3.8458
3.8458 0.0000 3.8458
3.8458 3.8458 0.0000
Pr Dy Hg Pb
1 1 1 1
direct
0.0000 0.0000 0.0000 Pr
0.5000 0.5000 0.5000 Dy
0.7500 0.7500 0.7500 Hg
0.2500 0.2500 0.2500 Pb
```


(5)
A plane-wave DFT calculation with PBE-GGA was carried out for a relaxed Tb5In2Ir2Au crystal.

Calculated values
Magnetization in μB/atom: 0.00
Energy of formation from the pure elements in meV/atom: -668
Volume in Å³ per cell: 506.7

```
Tb5In2Ir2Au
1.0
11.7408 0.0000 0.0000
0.0000 11.7408 0.0000
0.0000 0.0000 3.6759
Tb In Ir Au
10 4 4 2
direct
0.0000 0.5000 0.0000 Tb
0.0748 0.2012 0.0000 Tb
0.2012 0.9252 0.0000 Tb
0.2988 0.4252 0.0000 Tb
0.4252 0.7012 0.0000 Tb
0.5000 0.0000 0.0000 Tb
0.5748 0.2988 0.0000 Tb
0.7012 0.5748 0.0000 Tb
0.7988 0.0748 0.0000 Tb
0.9252 0.7988 0.0000 Tb
0.1744 0.6744 0.5000 In
0.3256 0.1744 0.5000 In
0.6744 0.8256 0.5000 In
0.8256 0.3256 0.5000 In
0.1341 0.3659 0.5000 Ir
0.3659 0.8659 0.5000 Ir
0.6341 0.1341 0.5000 Ir
0.8659 0.6341 0.5000 Ir
0.0000 0.0000 0.5000 Au
0.5000 0.5000 0.5000 Au
```


(6)
A plane-wave DFT calculation with PBE-GGA was carried out for a relaxed Dy3Y2ErBi6 crystal.

Calculated values
Magnetization in μB/atom: 0.00
Energy of formation from the pure elements in meV/atom: -864
Volume in Å³ per cell: 379.8

```
Dy3Y2ErBi6
1.0
9.7479 -2.2363 0.0000
9.7479 2.2363 0.0000
-2.0420 0.0000 8.7121
Dy Y Er Bi
3 2 1 6
direct
0.0000 0.0000 0.0000 Dy
0.3328 0.3328 0.6665 Dy
0.6672 0.6672 0.3335 Dy
0.3334 0.3334 0.1667 Y
0.6666 0.6666 0.8333 Y
0.0000 0.0000 0.5000 Er
0.1665 0.1665 0.0838 Bi
0.1660 0.1660 0.5825 Bi
0.5004 0.5004 0.2517 Bi
0.4996 0.4996 0.7483 Bi
0.8340 0.8340 0.4175 Bi
0.8335 0.8335 0.9162 Bi
```


(7)
A plane-wave DFT calculation with PBE-GGA was carried out for a relaxed YFe2C crystal.

Calculated values
Magnetization in μB/atom: 0.00
Energy of formation from the pure elements in meV/atom: 296
Volume in Å³ per cell: 120.0

```
YFe2C
1.0
-2.1573 2.1573 6.4481
2.1573 -2.1573 6.4481
2.1573 2.1573 -6.4481
Y Fe C
2 4 2
direct
0.3750 0.6250 0.7500 Y
0.6250 0.3750 0.2500 Y
0.0000 0.0000 0.0000 Fe
0.0000 0.0000 0.5000 Fe
0.0000 0.5000 0.0000 Fe
0.5000 0.0000 0.5000 Fe
0.1250 0.8750 0.2500 C
0.8750 0.1250 0.7500 C
```


(8)
A plane-wave DFT calculation with PBE-GGA was carried out for a relaxed CsK2PuBr6 crystal.

Calculated values
Magnetization in μB/atom: 0.50
ΔE_f (raw) in eV/f.u.: -16.79
Volume in Å³ per cell: 837.1

```
CsK2PuBr6
1.0
8.0885 0.0000 0.0000
0.0000 8.6518 0.0000
-7.6131 0.0000 11.9626
Cs K Pu Br
2 4 2 12
direct
0.0000 0.0000 0.0000 Cs
0.0000 0.5000 0.5000 Cs
0.2923 0.0882 0.7601 K
0.2923 0.4118 0.2601 K
0.7077 0.5882 0.7399 K
0.7077 0.9118 0.2399 K
0.5000 0.0000 0.5000 Pu
0.5000 0.5000 0.0000 Pu
0.1353 0.0645 0.2890 Br
0.1353 0.4355 0.7890 Br
0.3051 0.6681 0.0875 Br
0.3051 0.8319 0.5875 Br
0.4357 0.2121 0.0787 Br
0.4357 0.2879 0.5787 Br
0.5643 0.7121 0.4213 Br
0.5643 0.7879 0.9213 Br
0.6948 0.1681 0.4125 Br
0.6948 0.3319 0.9125 Br
0.8647 0.5645 0.2110 Br
0.8647 0.9355 0.7110 Br
```


(9)
A plane-wave DFT calculation with PBE-GGA was carried out for a relaxed BeSN2Cl crystal.

Calculated values
Magnetization in μB/atom: 0.05
ΔE_f (raw) in eV/f.u.: 10.32
Volume in Å³ per cell: 84.9
Distance to the lowest polymorph of the same formula in eV per atom: 0.767

```
BeSN2Cl
1.0
3.3950 0.0000 0.0000
0.0000 3.3950 0.0000
0.0000 0.0000 7.3637
Be S N Cl
1 1 2 1
direct
0.0000 0.0000 0.0000 Be
0.5000 0.5000 0.0000 S
0.0000 0.5000 0.5000 N
0.5000 0.0000 0.5000 N
0.5000 0.5000 0.5000 Cl
```


(10)
A plane-wave DFT calculation with PBE-GGA was carried out for a relaxed Er4Mg5Tl crystal.

Calculated values
Magnetization in μB/atom: 0.00
Energy of formation from the pure elements in meV/atom: -123
Volume in Å³ per cell: 258.1

```
Er4Mg5Tl
1.0
7.8167 -2.6212 0.0000
7.8167 2.6212 0.0000
-1.7138 0.0000 6.2982
Er Mg Tl
4 5 1
direct
0.0997 0.0997 0.3974 Er
0.3036 0.3036 0.1952 Er
0.6964 0.6964 0.8048 Er
0.9003 0.9003 0.6026 Er
0.0989 0.0989 0.9162 Mg
0.2999 0.2999 0.7017 Mg
0.5000 0.5000 0.0000 Mg
0.7001 0.7001 0.2983 Mg
0.9011 0.9011 0.0838 Mg
0.5000 0.5000 0.5000 Tl
```


(11)
A plane-wave DFT calculation with PBE-GGA was carried out for a relaxed La2TlReB crystal.

Calculated values
Magnetization in μB/atom: 0.00
Energy of formation from the pure elements in meV/atom: 1941
Volume in Å³ per cell: 174.3

```
La2TlReB
1.0
5.9203 0.0000 0.0000
0.0000 5.9203 0.0000
0.0000 0.0000 4.9730
La Tl Re B
2 1 1 1
direct
0.0000 0.5000 0.0000 La
0.5000 0.0000 0.0000 La
0.0000 0.0000 0.0000 Tl
0.0000 0.0000 0.5000 Re
0.5000 0.5000 0.5000 B
```


(12)
A plane-wave DFT calculation with PBE-GGA was carried out for a relaxed PuReS2 crystal.

Calculated values
Magnetization in μB/atom: 1.09
ΔE_f (raw) in eV/f.u.: -1.38
Volume in Å³ per cell: 67.8

```
PuReS2
1.0
2.4075 1.3900 3.3774
-2.4075 1.3900 3.3774
0.0000 -2.7800 3.3774
Pu Re S
1 1 2
direct
0.0000 0.0000 0.0000 Pu
0.5000 0.5000 0.5000 Re
0.2667 0.2667 0.2667 S
0.7333 0.7333 0.7333 S
```